TaVTcPb2: relaxed, GGA-PBE.

Summary:
- DOS at the Fermi energy (states/eV per cell) = 8.85
- energy (eV for the cell shown) = -31.353
- ΔH_f (0 K) (meV per atom) = 1480

Lattice parameters (Å, degrees): 5.2080 4.8082 5.2080 90.00 90.00 90.00
Closest atoms and distances in Å follow each position.
Atoms (fractional coordinates):
Pb1 0.0000 0.0000 0.5000  2 Tc 2.60
V1 0.5000 0.5000 0.5000  8 Pb 3.54, 4 Ta 3.68
Pb2 0.5000 0.0000 0.0000  2 Tc 2.60
Ta1 0.0000 0.5000 0.0000  2 Tc 2.40
Tc1 0.0000 0.0000 0.0000  2 Ta 2.40, 4 Pb 2.60

ZrTaTc2Pb: relaxed, GGA-PBE.

Summary:
- DOS at the Fermi energy (states/eV per cell) = 8.36
- energy (eV for the cell shown) = -34.527
- ΔH_f (0 K) (meV per atom) = 2063

Lattice parameters (Å, degrees): 4.9067 5.0627 4.9067 90.00 90.00 90.00
Closest atoms and distances in Å follow each position.
Atoms (fractional coordinates):
Tc1 0.0000 0.0000 0.5000  2 Pb 2.45
Pb1 0.0000 0.0000 0.0000  4 Tc 2.45, 2 Ta 2.53
Ta1 0.0000 0.5000 0.0000  2 Pb 2.53
Zr1 0.5000 0.5000 0.5000  4 Ta 3.47, 8 Tc 3.53
Tc2 0.5000 0.0000 0.0000  2 Pb 2.45

TaTe2Pb: relaxed, GGA-PBE.

Summary:
- DOS at the Fermi energy (states/eV per cell) = 2.57
- energy (eV for the cell shown) = -20.888
- uncorrected formation energy (eV per atom) = 0.239

Lattice parameters (Å, degrees): 3.1798 3.1798 11.2466 90.00 90.00 103.65
Closest atoms and distances in Å follow each position.
Atoms (fractional coordinates):
Pb1 0.0000 0.0000 0.5469  4 Ta 3.12-3.48, 4 Pb 3.18
Ta1 0.5000 0.5000 0.7626  2 Te 2.80, 2 Pb 3.12
Te1 0.0000 0.0000 0.9397  2 Ta 2.80
Te2 0.5000 0.5000 0.2508  4 Te 3.18

Ta2Te2Pb: relaxed, GGA-PBE.

Summary:
- DOS at the Fermi energy (states/eV per cell) = 4.15
- energy (eV for the cell shown) = -62.747
- uncorrected formation energy (eV per atom) = 0.465
- distance to the lowest polymorph of the same formula (kJ/mol of formula units) = 195

Lattice parameters (Å, degrees): 8.3809 8.3809 3.2829 90.00 90.00 90.00
Closest atoms and distances in Å follow each position.
Atoms (fractional coordinates):
Ta1 0.3537 0.1463 0.5000  6 Te 2.91-3.01
Te1 0.3591 0.8591 0.0000  6 Ta 2.91-3.01, 2 Pb 3.23
Pb1 0.5000 0.5000 0.0000  4 Te 3.23, 2 Pb 3.28, 8 Ta 3.60
Te2 0.6409 0.1409 0.0000  6 Ta 2.91-3.01, 2 Pb 3.23
Te3 0.1409 0.3591 0.0000  6 Ta 2.91-3.01, 2 Pb 3.23
Te4 0.8591 0.6409 0.0000  6 Ta 2.91-3.01, 2 Pb 3.23
Pb2 0.0000 0.0000 0.0000  4 Te 3.23, 2 Pb 3.28, 8 Ta 3.60
Ta2 0.1463 0.6463 0.5000  6 Te 2.91-3.01
Ta3 0.6463 0.8537 0.5000  6 Te 2.91-3.01
Ta4 0.8537 0.3537 0.5000  6 Te 2.91-3.01

TaTe2Pb: relaxed, GGA-PBE.

Summary:
- DOS at the Fermi energy (states/eV per cell) = 8.20
- energy (eV for the cell shown) = -40.772
- uncorrected formation energy (eV per atom) = 0.365

Lattice parameters (Å, degrees): 7.2392 7.2392 7.7185 62.03 62.03 90.00
Closest atoms and distances in Å follow each position.
Atoms (fractional coordinates):
Pb1 0.7500 0.2500 0.5000  4 Te 3.21
Te1 0.8750 0.8181 0.7500  2 Ta 2.70
Te2 0.3750 0.4319 0.7500  2 Ta 2.70
Pb2 0.0000 0.0000 0.0000  4 Te 3.21
Ta1 0.2500 0.7500 0.5000  4 Te 2.70
Te3 0.1819 0.6250 0.2500  2 Ta 2.70
Te4 0.5681 0.1250 0.2500  2 Ta 2.70
Ta2 0.5000 0.5000 0.0000  4 Te 2.70

Ta2TePb: relaxed, GGA-PBE.

Summary:
- DOS at the Fermi energy (states/eV per cell) = 3.17
- energy (eV for the cell shown) = -27.915
- uncorrected formation energy (eV per atom) = 0.660
- distance to the lowest polymorph of the same formula (kJ/mol of formula units) = 226

Lattice parameters (Å, degrees): 3.5048 5.2960 4.6655 90.00 90.00 90.00
Closest atoms and distances in Å follow each position.
Atoms (fractional coordinates):
Te1 0.5000 0.0000 0.5000  4 Ta 2.92, 4 Pb 3.18
Ta1 0.0000 0.0000 0.0000  4 Te 2.92, 4 Ta 3.18
Pb1 0.0000 0.5000 0.5000  4 Ta 2.92, 4 Te 3.18
Ta2 0.5000 0.5000 0.0000  4 Pb 2.92, 4 Ta 3.18

> The highest energy belongs to which entry?

number 3